Record 1
{"formula": "DyHo2Hg8", "functional": "PBE", "state": "optimized geometry", "lattice": [[7.9794, -2.4589, 0.0000], [7.9794, 2.4589, 0.0000], [-2.3770, 0.0000, 6.8260]], "species": ["Dy", "Ho", "Ho", "Hg", "Hg", "Hg", "Hg", "Hg", "Hg", "Hg", "Hg"], "fractional_positions": [[0.0000, 0.0000, 0.0000], [0.2843, 0.2843, 0.3444], [0.7157, 0.7157, 0.6556], [0.0975, 0.0975, 0.4556], [0.1728, 0.1728, 0.9023], [0.3506, 0.3506, 0.8150], [0.4699, 0.4699, 0.2692], [0.5301, 0.5301, 0.7308], [0.6494, 0.6494, 0.1850], [0.8272, 0.8272, 0.0977], [0.9025, 0.9025, 0.5444]], "formation_energy_mev_per_atom": -307, "sg": "No. 12", "dft_energy_ev_per_atom": -1.777}

---

Record 2
{"formula": "RbMn3P", "functional": "PBE", "state": "optimized geometry", "lattice": [[4.7423, 0.0000, 0.0000], [0.0000, 4.7423, 0.0000], [0.0000, 0.0000, 4.7423]], "species": ["Rb", "Mn", "Mn", "Mn", "P"], "fractional_positions": [[0.0000, 0.0000, 0.0000], [0.0000, 0.5000, 0.5000], [0.5000, 0.0000, 0.5000], [0.5000, 0.5000, 0.0000], [0.5000, 0.5000, 0.5000]], "formation_energy_mev_per_atom": 618, "relative_energy_ev_per_atom": 0.0000, "sg": "No. 221", "dft_energy_ev_per_atom": -6.159}

---

Record 3
{"formula": "Fe3Ir2Rh3", "functional": "PBE", "state": "optimized geometry", "lattice": [[3.7932, 0.0000, 0.0000], [0.0000, 3.8149, 0.0000], [0.0000, 0.0000, 7.4521]], "species": ["Fe", "Fe", "Fe", "Ir", "Ir", "Rh", "Rh", "Rh"], "fractional_positions": [[0.0000, 0.0000, 0.0000], [0.0000, 0.0000, 0.5000], [0.5000, 0.5000, 0.0000], [0.5000, 0.0000, 0.2413], [0.5000, 0.0000, 0.7587], [0.0000, 0.5000, 0.2445], [0.0000, 0.5000, 0.7555], [0.5000, 0.5000, 0.5000]], "formation_energy_mev_per_atom": -39, "sg": "No. 47", "dft_energy_ev_per_atom": -8.184}

---

Record 4
{"formula": "NdMg2Zn2Si2", "functional": "PBE", "state": "optimized geometry", "lattice": [[2.1636, 1.2492, 8.4440], [-2.1636, 1.2492, 8.4440], [0.0000, -2.4983, 8.4440]], "species": ["Nd", "Mg", "Mg", "Zn", "Zn", "Si", "Si"], "fractional_positions": [[0.0000, 0.0000, 0.0000], [0.1352, 0.1352, 0.1352], [0.8648, 0.8648, 0.8648], [0.4063, 0.4063, 0.4063], [0.5937, 0.5937, 0.5937], [0.2476, 0.2476, 0.2476], [0.7524, 0.7524, 0.7524]], "sg": "No. 166", "dft_energy_ev_per_atom": -3.298, "e_form_raw_ev_per_atom": -0.248}

---

Record 5
{"formula": "Tb2SmIn2Ag2", "functional": "PBE", "state": "optimized geometry", "lattice": [[2.4379, 1.4075, 8.9459], [-2.4379, 1.4075, 8.9459], [0.0000, -2.8150, 8.9459]], "species": ["Tb", "Tb", "Sm", "In", "In", "Ag", "Ag"], "fractional_positions": [[0.1264, 0.1264, 0.1264], [0.8736, 0.8736, 0.8736], [0.0000, 0.0000, 0.0000], [0.2594, 0.2594, 0.2594], [0.7406, 0.7406, 0.7406], [0.4007, 0.4007, 0.4007], [0.5993, 0.5993, 0.5993]], "formation_energy_mev_per_atom": -291, "sg": "No. 166", "dft_energy_ev_per_atom": -3.885}

---

Record 6
{"formula": "La6Tl2Fe", "functional": "PBE", "state": "optimized geometry", "lattice": [[6.3958, -3.6991, 0.0000], [6.3958, 3.6991, 0.0000], [-4.3009, 0.0000, 6.0597]], "species": ["La", "La", "La", "La", "La", "La", "Tl", "Tl", "Fe"], "fractional_positions": [[0.2278, 0.7290, 0.7298], [0.2533, 0.2533, 0.2085], [0.2710, 0.7722, 0.2702], [0.7290, 0.2278, 0.7298], [0.7467, 0.7467, 0.7915], [0.7722, 0.2710, 0.2702], [0.2481, 0.2481, 0.7472], [0.7519, 0.7519, 0.2528], [0.0000, 0.0000, 0.0000]], "formation_energy_mev_per_atom": -227, "sg": "No. 12", "dft_energy_ev_per_atom": -4.979}

---

Record 7
{"formula": "SIO5", "functional": "PBE", "state": "optimized geometry", "lattice": [[8.2904, 0.0000, 0.0000], [0.0000, 6.5286, 0.0000], [0.0000, 0.0000, 8.3926]], "species": ["S", "S", "S", "S", "I", "I", "I", "I", "O", "O", "O", "O", "O", "O", "O", "O", "O", "O", "O", "O", "O", "O", "O", "O", "O", "O", "O", "O"], "fractional_positions": [[0.0836, 0.2500, 0.1695], [0.4164, 0.7500, 0.6695], [0.5836, 0.2500, 0.3305], [0.9164, 0.7500, 0.8305], [0.0897, 0.7500, 0.2762], [0.4103, 0.2500, 0.7762], [0.5897, 0.7500, 0.2238], [0.9103, 0.2500, 0.7238], [0.0601, 0.7500, 0.9304], [0.0736, 0.0723, 0.2933], [0.0736, 0.4277, 0.2933], [0.2016, 0.2500, 0.7058], [0.2359, 0.2500, 0.0868], [0.2641, 0.7500, 0.5868], [0.2984, 0.7500, 0.2058], [0.4264, 0.5723, 0.7933], [0.4264, 0.9277, 0.7933], [0.4399, 0.2500, 0.4304], [0.5601, 0.7500, 0.5696], [0.5736, 0.0723, 0.2067], [0.5736, 0.4277, 0.2067], [0.7016, 0.2500, 0.7942], [0.7359, 0.2500, 0.4132], [0.7641, 0.7500, 0.9132], [0.7984, 0.7500, 0.2942], [0.9264, 0.5723, 0.7067], [0.9264, 0.9277, 0.7067], [0.9399, 0.2500, 0.0696]], "sg": "No. 62", "dft_energy_ev_per_atom": -5.036, "e_form_raw_ev_per_atom": -0.683}

---

Record 8
{"formula": "TiCrCu4", "functional": "PBE", "state": "optimized geometry", "lattice": [[0.0000, 3.4233, 3.4233], [3.4233, 0.0000, 3.4233], [3.4233, 3.4233, 0.0000]], "species": ["Ti", "Cr", "Cu", "Cu", "Cu", "Cu"], "fractional_positions": [[0.0000, 0.0000, 0.0000], [0.7500, 0.7500, 0.7500], [0.3753, 0.3753, 0.3753], [0.3753, 0.3753, 0.8742], [0.3753, 0.8742, 0.3753], [0.8742, 0.3753, 0.3753]], "formation_energy_mev_per_atom": 78, "sg": "No. 216", "dft_energy_ev_per_atom": -5.573}

---

Record 9
{"formula": "La2Er2Zn", "functional": "PBE", "state": "optimized geometry", "lattice": [[3.5997, 0.0000, 0.0000], [0.0000, 3.5997, 0.0000], [0.0000, 0.0000, 22.9574]], "species": ["La", "La", "La", "La", "Er", "Er", "Er", "Er", "Zn", "Zn"], "fractional_positions": [[0.0000, 0.0000, 0.1899], [0.0000, 0.0000, 0.8101], [0.5000, 0.5000, 0.3101], [0.5000, 0.5000, 0.6899], [0.0000, 0.0000, 0.4255], [0.0000, 0.0000, 0.5745], [0.5000, 0.5000, 0.0745], [0.5000, 0.5000, 0.9255], [0.0000, 0.0000, 0.0000], [0.5000, 0.5000, 0.5000]], "formation_energy_mev_per_atom": -122, "sg": "No. 139", "dft_energy_ev_per_atom": -4.173}

---

Record 10
{"formula": "ScZn2TcH6", "functional": "PBE", "state": "optimized geometry", "lattice": [[4.5225, 0.0000, 0.0000], [0.0000, 5.4830, 0.0000], [-4.4203, 0.0000, 6.9499]], "species": ["Sc", "Sc", "Zn", "Zn", "Zn", "Zn", "Tc", "Tc", "H", "H", "H", "H", "H", "H", "H", "H", "H", "H", "H", "H"], "fractional_positions": [[0.0000, 0.0000, 0.0000], [0.0000, 0.5000, 0.5000], [0.2097, 0.0806, 0.7399], [0.2097, 0.4194, 0.2399], [0.7903, 0.5806, 0.7601], [0.7903, 0.9194, 0.2601], [0.5000, 0.0000, 0.5000], [0.5000, 0.5000, 0.0000], [0.1468, 0.1561, 0.4853], [0.1468, 0.3439, 0.9853], [0.2927, 0.7045, 0.4101], [0.2927, 0.7955, 0.9101], [0.4351, 0.0645, 0.2700], [0.4351, 0.4355, 0.7700], [0.5649, 0.5645, 0.2300], [0.5649, 0.9355, 0.7300], [0.7073, 0.2045, 0.0899], [0.7073, 0.2955, 0.5899], [0.8532, 0.6561, 0.0147], [0.8532, 0.8439, 0.5147]], "sg": "No. 14", "dft_energy_ev_per_atom": -3.953}

---

Record 11
{"formula": "SrCdRe2", "functional": "PBE", "state": "optimized geometry", "lattice": [[8.2145, 0.0000, 0.0000], [0.0000, 3.1935, 0.0000], [-0.9944, 0.0000, 7.2116]], "species": ["Sr", "Sr", "Cd", "Cd", "Re", "Re", "Re", "Re"], "fractional_positions": [[0.0000, 0.0000, 0.0000], [0.5000, 0.5000, 0.0000], [0.2332, 0.0000, 0.6599], [0.7332, 0.5000, 0.6599], [0.2658, 0.5000, 0.3098], [0.4880, 0.0000, 0.4196], [0.7658, 0.0000, 0.3098], [0.9880, 0.5000, 0.4196]], "formation_energy_mev_per_atom": 564, "sg": "No. 8", "dft_energy_ev_per_atom": -6.309}

---

Record 12
{"formula": "TiGaCuGe", "functional": "PBE", "state": "optimized geometry", "lattice": [[3.7335, 0.0000, 0.0000], [0.0000, 3.7335, 0.0000], [0.0000, 0.0000, 8.6823]], "species": ["Ti", "Ti", "Ga", "Ga", "Cu", "Cu", "Ge", "Ge"], "fractional_positions": [[0.2500, 0.2500, 0.2503], [0.7500, 0.7500, 0.7497], [0.2500, 0.7500, 0.0000], [0.7500, 0.2500, 0.0000], [0.2500, 0.7500, 0.5000], [0.7500, 0.2500, 0.5000], [0.2500, 0.2500, 0.6999], [0.7500, 0.7500, 0.3001]], "formation_energy_mev_per_atom": -335, "sg": "No. 129", "dft_energy_ev_per_atom": -5.244}

---

Record 13
{"formula": "Li2DyTmSi2", "functional": "PBE", "state": "optimized geometry", "lattice": [[4.3546, 0.0000, 0.0000], [-2.1773, 3.7712, 0.0000], [0.0000, 0.0000, 7.0443]], "species": ["Li", "Li", "Dy", "Tm", "Si", "Si"], "fractional_positions": [[0.3333, 0.6667, 0.2364], [0.6667, 0.3333, 0.7636], [0.0000, 0.0000, 0.5000], [0.0000, 0.0000, 0.0000], [0.3333, 0.6667, 0.7548], [0.6667, 0.3333, 0.2452]], "sg": "No. 164", "dft_energy_ev_per_atom": -4.524, "e_form_raw_ev_per_atom": -0.566}

---

Record 14
{"formula": "Y14ErTm", "functional": "PBE", "state": "optimized geometry", "lattice": [[11.2737, 0.0000, 0.0000], [0.0000, 3.6426, 6.3077], [0.0000, -3.6426, 6.3077]], "species": ["Y", "Y", "Y", "Y", "Y", "Y", "Y", "Y", "Y", "Y", "Y", "Y", "Y", "Y", "Er", "Tm"], "fractional_positions": [[0.0000, 0.0000, 0.0000], [0.0000, 0.0002, 0.5002], [0.0000, 0.5002, 0.0002], [0.0000, 0.5000, 0.5000], [0.2503, 0.1666, 0.1666], [0.2506, 0.6666, 0.6666], [0.2519, 0.1671, 0.6671], [0.2519, 0.6671, 0.1671], [0.5000, 0.9999, 0.4996], [0.5000, 0.4996, 0.9999], [0.7481, 0.1671, 0.6671], [0.7481, 0.6671, 0.1671], [0.7494, 0.6666, 0.6666], [0.7497, 0.1666, 0.1666], [0.5000, 0.0005, 0.0005], [0.5000, 0.5004, 0.5004]], "formation_energy_mev_per_atom": -2, "sg": "No. 38", "dft_energy_ev_per_atom": -6.223}

---

Record 15
{"formula": "Pm5Dy2Er4", "functional": "PBE", "state": "optimized geometry", "lattice": [[8.7916, -1.7687, 0.0000], [8.7916, 1.7687, 0.0000], [-0.8125, 0.0000, 11.5534]], "species": ["Pm", "Pm", "Pm", "Pm", "Pm", "Dy", "Dy", "Er", "Er", "Er", "Er"], "fractional_positions": [[0.0000, 0.0000, 0.0000], [0.3235, 0.3235, 0.9304], [0.4036, 0.4036, 0.4649], [0.5964, 0.5964, 0.5351], [0.6765, 0.6765, 0.0696], [0.2159, 0.2159, 0.3515], [0.7841, 0.7841, 0.6485], [0.1404, 0.1404, 0.7950], [0.4650, 0.4650, 0.7408], [0.5350, 0.5350, 0.2592], [0.8596, 0.8596, 0.2050]], "formation_energy_mev_per_atom": 74, "relative_energy_ev_per_atom": 0.0000, "sg": "No. 12", "dft_energy_ev_per_atom": -4.582}

---

Record 16
{"formula": "LaReW2", "functional": "PBE", "state": "optimized geometry", "lattice": [[3.1112, 0.0000, 0.0000], [0.0000, 5.1082, 0.0000], [0.0000, 0.0000, 9.5876]], "species": ["La", "La", "Re", "Re", "W", "W", "W", "W"], "fractional_positions": [[0.0000, 0.0000, 0.0000], [0.5000, 0.5000, 0.5000], [0.0000, 0.5000, 0.7669], [0.5000, 0.0000, 0.2669], [0.0000, 0.0000, 0.4874], [0.0000, 0.5000, 0.2261], [0.5000, 0.0000, 0.7261], [0.5000, 0.5000, 0.9874]], "formation_energy_mev_per_atom": 756, "relative_energy_ev_per_atom": 0.3246, "sg": "No. 44", "dft_energy_ev_per_atom": -10.065}

---

Record 17
{"formula": "Rb4Er3HfTe8", "functional": "PBE", "state": "optimized geometry", "lattice": [[4.4174, 2.5504, 8.5652], [-4.4174, 2.5504, 8.5652], [0.0000, -5.1007, 8.5652]], "species": ["Rb", "Rb", "Rb", "Rb", "Er", "Er", "Er", "Hf", "Te", "Te", "Te", "Te", "Te", "Te", "Te", "Te"], "fractional_positions": [[0.0000, 0.0000, 0.0000], [0.0000, 0.5000, 0.5000], [0.5000, 0.0000, 0.5000], [0.5000, 0.5000, 0.0000], [0.0000, 0.0000, 0.5000], [0.0000, 0.5000, 0.0000], [0.5000, 0.0000, 0.0000], [0.5000, 0.5000, 0.5000], [0.2335, 0.2335, 0.2335], [0.2441, 0.7256, 0.7256], [0.2744, 0.2744, 0.7559], [0.2744, 0.7559, 0.2744], [0.7256, 0.2441, 0.7256], [0.7256, 0.7256, 0.2441], [0.7559, 0.2744, 0.2744], [0.7665, 0.7665, 0.7665]], "sg": "No. 166", "dft_energy_ev_per_atom": -4.516, "e_form_raw_ev_per_atom": -1.225}

---

Record 18
{"formula": "MnCr2W", "functional": "PBE", "state": "optimized geometry", "lattice": [[6.5850, 0.0000, 0.0000], [0.0000, 6.5850, 0.0000], [0.0000, 0.0000, 4.9608]], "species": ["Mn", "Mn", "Mn", "Mn", "Cr", "Cr", "Cr", "Cr", "Cr", "Cr", "Cr", "Cr", "W", "W", "W", "W"], "fractional_positions": [[0.0000, 0.0000, 0.0000], [0.0000, 0.5000, 0.2500], [0.5000, 0.0000, 0.7500], [0.5000, 0.5000, 0.5000], [0.2220, 0.7500, 0.1250], [0.2500, 0.2220, 0.8750], [0.2500, 0.2780, 0.3750], [0.2780, 0.7500, 0.6250], [0.7220, 0.2500, 0.6250], [0.7500, 0.7220, 0.3750], [0.7500, 0.7780, 0.8750], [0.7780, 0.2500, 0.1250], [0.0000, 0.0000, 0.5000], [0.0000, 0.5000, 0.7500], [0.5000, 0.0000, 0.2500], [0.5000, 0.5000, 0.0000]], "formation_energy_mev_per_atom": 768, "relative_energy_ev_per_atom": 0.6876, "sg": "No. 122", "dft_energy_ev_per_atom": -9.575}

---

Record 19
{"formula": "NaCd3Ag", "functional": "PBE", "state": "optimized geometry", "lattice": [[5.3196, 0.0000, 0.0000], [0.0000, 5.3196, 0.0000], [0.0000, 0.0000, 5.3196]], "species": ["Na", "Cd", "Cd", "Cd", "Ag"], "fractional_positions": [[0.0000, 0.0000, 0.0000], [0.0000, 0.5000, 0.5000], [0.5000, 0.0000, 0.5000], [0.5000, 0.5000, 0.0000], [0.5000, 0.5000, 0.5000]], "formation_energy_mev_per_atom": 115, "relative_energy_ev_per_atom": 0.1757, "sg": "No. 221", "dft_energy_ev_per_atom": -1.268}

---

Record 20
{"formula": "Pr2Mn2GaRh5", "functional": "PBE", "state": "optimized geometry", "lattice": [[9.7407, 0.0000, 0.0000], [0.0000, 9.7407, 0.0000], [0.0000, 0.0000, 3.6991]], "species": ["Pr", "Pr", "Pr", "Pr", "Mn", "Mn", "Mn", "Mn", "Ga", "Ga", "Rh", "Rh", "Rh", "Rh", "Rh", "Rh", "Rh", "Rh", "Rh", "Rh"], "fractional_positions": [[0.1796, 0.3204, 0.0000], [0.3204, 0.8204, 0.0000], [0.6796, 0.1796, 0.0000], [0.8204, 0.6796, 0.0000], [0.1210, 0.6210, 0.0000], [0.3790, 0.1210, 0.0000], [0.6210, 0.8790, 0.0000], [0.8790, 0.3790, 0.0000], [0.0000, 0.0000, 0.0000], [0.5000, 0.5000, 0.0000], [0.0000, 0.5000, 0.5000], [0.0603, 0.7972, 0.5000], [0.2028, 0.0603, 0.5000], [0.2972, 0.5603, 0.5000], [0.4397, 0.2972, 0.5000], [0.5000, 0.0000, 0.5000], [0.5603, 0.7028, 0.5000], [0.7028, 0.4397, 0.5000], [0.7972, 0.9397, 0.5000], [0.9397, 0.2028, 0.5000]], "formation_energy_mev_per_atom": -359, "sg": "No. 127", "dft_energy_ev_per_atom": -7.128}

---

Record 21
{"formula": "SrAl2Zn", "functional": "PBE", "state": "optimized geometry", "lattice": [[4.2286, 0.0000, 0.0000], [0.0000, 4.2286, 0.0000], [0.0000, 0.0000, 10.4023]], "species": ["Sr", "Sr", "Al", "Al", "Al", "Al", "Zn", "Zn"], "fractional_positions": [[0.2500, 0.2500, 0.2409], [0.7500, 0.7500, 0.7591], [0.2500, 0.2500, 0.9376], [0.2500, 0.7500, 0.5000], [0.7500, 0.2500, 0.5000], [0.7500, 0.7500, 0.0624], [0.2500, 0.2500, 0.6555], [0.7500, 0.7500, 0.3445]], "formation_energy_mev_per_atom": -128, "sg": "No. 129", "dft_energy_ev_per_atom": -2.738}